Entry 1:
This record from the Alexandria database describes a geometry-optimized CaAcLaAl structure. The functional is PBE.

Summary:
VASP energy, eV/atom: -3.7481
Total moment, μB/cell: 0.000
DFT formation energy, eV/atom: -0.05
Space group: F-43m

The structure in CIF format:
```
data_CaAcLaAl
_cell_length_a 5.727
_cell_length_b 5.727
_cell_length_c 5.727
_cell_angle_alpha 60.00
_cell_angle_beta 60.00
_cell_angle_gamma 60.00
_space_group_name_H-M_alt 'P 1'
_space_group_IT_number 1
_space_group_name_Hall 'P 1'
loop_
_atom_site_label
_atom_site_type_symbol
_atom_site_fract_x
_atom_site_fract_y
_atom_site_fract_z
Al1 Al 0.000 0.000 0.000
La1 La 0.250 0.250 0.250
Ac1 Ac 0.750 0.750 0.750
Ca1 Ca 0.500 0.500 0.500
```

Entry 2:
This record from the Alexandria database describes a geometry-optimized KRb2P2Se6 structure. The functional is PBE.

Summary:
Formation energy from raw total energies, kJ/mol of atoms: -53.93
VASP energy, eV/atom: -3.7190
Total moment, μB/cell: 0.012
Space group: C2/m

The structure in CIF format:
```
data_KRb2P2Se6
_cell_length_a 7.278
_cell_length_b 7.386
_cell_length_c 9.434
_cell_angle_alpha 108.17
_cell_angle_beta 90.00
_cell_angle_gamma 119.52
_space_group_name_H-M_alt 'P 1'
_space_group_IT_number 1
_space_group_name_Hall 'P 1'
loop_
_atom_site_label
_atom_site_type_symbol
_atom_site_fract_x
_atom_site_fract_y
_atom_site_fract_z
Se1 Se 0.308 0.105 0.815
Se2 Se 0.213 0.425 0.341
Se3 Se 0.203 0.895 0.185
Se4 Se 0.787 0.575 0.659
Se5 Se 0.692 0.895 0.185
Se6 Se 0.797 0.105 0.815
P1 P 0.034 0.067 0.269
P2 P 0.966 0.933 0.731
K1 K 0.500 0.000 0.500
Rb1 Rb 0.707 0.414 0.212
Rb2 Rb 0.293 0.586 0.788
```

Entry 3:
This record from the Alexandria database describes a geometry-optimized TeOs2Cl structure. The functional is PBE.

Summary:
Formation energy from raw total energies, kJ/mol of atoms: 97.35
Energy relative to the lowest polymorph listed for this composition, eV/atom: 0.788
VASP energy, eV/atom: -5.8530
Total moment, μB/cell: 0.000
Space group: R-3m

The structure in CIF format:
```
data_TeOs2Cl
_cell_length_a 8.273
_cell_length_b 8.273
_cell_length_c 8.273
_cell_angle_alpha 21.95
_cell_angle_beta 21.95
_cell_angle_gamma 21.95
_space_group_name_H-M_alt 'P 1'
_space_group_IT_number 1
_space_group_name_Hall 'P 1'
loop_
_atom_site_label
_atom_site_type_symbol
_atom_site_fract_x
_atom_site_fract_y
_atom_site_fract_z
Os1 Os 0.995 0.995 0.995
Os2 Os 0.505 0.505 0.505
Cl1 Cl 0.750 0.750 0.750
Te1 Te 0.250 0.250 0.250
```

Entry 4:
This record from the Alexandria database describes a geometry-optimized In2Ga3Au8 structure. The functional is PBE.

Summary:
Energy relative to the lowest polymorph listed for this composition, eV/atom: 0.000
VASP energy, eV/atom: -3.2349
Total moment, μB/cell: 0.000
DFT formation energy, eV/atom: -0.10
Space group: P2/m

The structure in CIF format:
```
data_In2Ga3Au8
_cell_length_a 4.154
_cell_length_b 8.356
_cell_length_c 8.755
_cell_angle_alpha 118.60
_cell_angle_beta 90.00
_cell_angle_gamma 90.00
_space_group_name_H-M_alt 'P 1'
_space_group_IT_number 1
_space_group_name_Hall 'P 1'
loop_
_atom_site_label
_atom_site_type_symbol
_atom_site_fract_x
_atom_site_fract_y
_atom_site_fract_z
In1 In 0.500 0.756 0.514
In2 In 0.500 0.244 0.486
Au1 Au 0.500 0.628 0.775
Au2 Au 0.000 0.113 0.227
Au3 Au 0.000 0.887 0.773
Au4 Au 0.500 0.855 0.226
Au5 Au 0.500 0.372 0.225
Au6 Au 0.000 0.365 0.732
Au7 Au 0.500 0.145 0.774
Au8 Au 0.000 0.635 0.268
Ga1 Ga 0.000 0.299 0.000
Ga2 Ga 0.500 0.000 0.000
Ga3 Ga 0.000 0.701 0.000
```

Entry 5:
This record from the Alexandria database describes a geometry-optimized RbNaCaCl4 structure. The functional is PBE.

Summary:
Formation energy from raw total energies, kJ/mol of atoms: -200.55
VASP energy, eV/atom: -3.7464
Total moment, μB/cell: 0.087
Space group: Imma

The structure in CIF format:
```
data_RbNaCaCl4
_cell_length_a 8.696
_cell_length_b 8.837
_cell_length_c 8.466
_cell_angle_alpha 118.62
_cell_angle_beta 90.00
_cell_angle_gamma 119.47
_space_group_name_H-M_alt 'P 1'
_space_group_IT_number 1
_space_group_name_Hall 'P 1'
loop_
_atom_site_label
_atom_site_type_symbol
_atom_site_fract_x
_atom_site_fract_y
_atom_site_fract_z
Cl1 Cl 0.713 0.426 0.248
Cl2 Cl 0.287 0.574 0.322
Cl3 Cl 0.713 0.426 0.678
Cl4 Cl 0.299 0.018 0.259
Cl5 Cl 0.719 0.018 0.259
Cl6 Cl 0.287 0.574 0.752
Cl7 Cl 0.281 0.982 0.741
Cl8 Cl 0.701 0.982 0.741
Na1 Na 0.500 0.500 0.500
Na2 Na 0.000 0.500 0.500
Ca1 Ca 0.500 0.000 0.500
Ca2 Ca 0.500 0.000 0.000
Rb1 Rb 0.864 0.729 0.114
Rb2 Rb 0.136 0.271 0.886
```

Entry 6:
This record from the Alexandria database describes a geometry-optimized Dy3Ho2Pt2 structure. The functional is PBE.

Summary:
VASP energy, eV/atom: -5.8001
Total moment, μB/cell: 0.000
DFT formation energy, eV/atom: -0.79
Space group: C2/m

The structure in CIF format:
```
data_Dy3Ho2Pt2
_cell_length_a 3.751
_cell_length_b 6.397
_cell_length_c 8.586
_cell_angle_alpha 72.32
_cell_angle_beta 77.38
_cell_angle_gamma 72.95
_space_group_name_H-M_alt 'P 1'
_space_group_IT_number 1
_space_group_name_Hall 'P 1'
loop_
_atom_site_label
_atom_site_type_symbol
_atom_site_fract_x
_atom_site_fract_y
_atom_site_fract_z
Dy1 Dy 0.500 0.000 0.000
Dy2 Dy 0.386 0.794 0.434
Dy3 Dy 0.614 0.206 0.566
Ho1 Ho 0.836 0.516 0.812
Ho2 Ho 0.164 0.484 0.188
Pt1 Pt 0.825 0.112 0.238
Pt2 Pt 0.175 0.888 0.762
```

Entry 7:
This record from the Alexandria database describes a geometry-optimized Hf2UTe structure. The functional is PBE.

Summary:
Formation energy from raw total energies, kJ/mol of atoms: 40.01
VASP energy, eV/atom: -8.1695
Total moment, μB/cell: 2.354
Space group: R-3m

The structure in CIF format:
```
data_Hf2UTe
_cell_length_a 3.180
_cell_length_b 3.180
_cell_length_c 10.911
_cell_angle_alpha 81.62
_cell_angle_beta 81.62
_cell_angle_gamma 60.00
_space_group_name_H-M_alt 'P 1'
_space_group_IT_number 1
_space_group_name_Hall 'P 1'
loop_
_atom_site_label
_atom_site_type_symbol
_atom_site_fract_x
_atom_site_fract_y
_atom_site_fract_z
Hf1 Hf 0.093 0.093 0.721
Hf2 Hf 0.907 0.907 0.279
Te1 Te 0.500 0.500 0.500
U1 U 0.000 0.000 0.000
```

Entry 8:
This record from the Alexandria database describes a geometry-optimized NdZrGa2 structure. The functional is PBE.

Summary:
Energy relative to the lowest polymorph listed for this composition, eV/atom: 0.000
VASP energy, eV/atom: -5.3372
Total moment, μB/cell: 2.347
DFT formation energy, eV/atom: -0.49
Space group: Pnma

The structure in CIF format:
```
data_NdZrGa2
_cell_length_a 4.111
_cell_length_b 8.279
_cell_length_c 11.032
_cell_angle_alpha 90.00
_cell_angle_beta 90.00
_cell_angle_gamma 90.00
_space_group_name_H-M_alt 'P 1'
_space_group_IT_number 1
_space_group_name_Hall 'P 1'
loop_
_atom_site_label
_atom_site_type_symbol
_atom_site_fract_x
_atom_site_fract_y
_atom_site_fract_z
Nd1 Nd 0.250 0.145 0.857
Nd2 Nd 0.750 0.855 0.143
Nd3 Nd 0.250 0.645 0.643
Nd4 Nd 0.750 0.355 0.357
Ga1 Ga 0.750 0.751 0.443
Ga2 Ga 0.750 0.855 0.824
Ga3 Ga 0.250 0.249 0.557
Ga4 Ga 0.750 0.355 0.676
Ga5 Ga 0.750 0.251 0.057
Ga6 Ga 0.250 0.145 0.176
Ga7 Ga 0.250 0.645 0.324
Ga8 Ga 0.250 0.749 0.943
Zr1 Zr 0.250 0.482 0.105
Zr2 Zr 0.750 0.518 0.895
Zr3 Zr 0.250 0.982 0.395
Zr4 Zr 0.750 0.018 0.605
```

Entry 9:
This record from the Alexandria database describes a geometry-optimized Ce2Nd3DyTe6 structure. The functional is PBE.

Summary:
Formation energy from raw total energies, kJ/mol of atoms: -133.74
VASP energy, eV/atom: -5.5214
Total moment, μB/cell: 2.437
Space group: C2/m

The structure in CIF format:
```
data_Ce2Nd3DyTe6
_cell_length_a 4.443
_cell_length_b 9.010
_cell_length_c 10.010
_cell_angle_alpha 103.43
_cell_angle_beta 102.82
_cell_angle_gamma 90.00
_space_group_name_H-M_alt 'P 1'
_space_group_IT_number 1
_space_group_name_Hall 'P 1'
loop_
_atom_site_label
_atom_site_type_symbol
_atom_site_fract_x
_atom_site_fract_y
_atom_site_fract_z
Nd1 Nd 0.168 0.834 0.337
Nd2 Nd 0.500 0.500 0.000
Nd3 Nd 0.832 0.166 0.663
Te1 Te 0.334 0.416 0.667
Te2 Te 0.663 0.083 0.326
Te3 Te 0.337 0.917 0.674
Te4 Te 0.666 0.584 0.333
Te5 Te 0.000 0.759 0.001
Te6 Te 0.000 0.241 0.999
Ce1 Ce 0.167 0.336 0.335
Ce2 Ce 0.833 0.664 0.665
Dy1 Dy 0.500 0.000 0.000
```

Entry 10:
This record from the Alexandria database describes a geometry-optimized CsKBa structure. The functional is PBE.

Summary:
Energy relative to the lowest polymorph listed for this composition, eV/atom: 0.000
VASP energy, eV/atom: -1.1951
Total moment, μB/cell: 0.000
DFT formation energy, eV/atom: 0.10
Space group: P3m1

The structure in CIF format:
```
data_CsKBa
_cell_length_a 4.721
_cell_length_b 4.721
_cell_length_c 12.264
_cell_angle_alpha 90.00
_cell_angle_beta 90.00
_cell_angle_gamma 120.00
_space_group_name_H-M_alt 'P 1'
_space_group_IT_number 1
_space_group_name_Hall 'P 1'
loop_
_atom_site_label
_atom_site_type_symbol
_atom_site_fract_x
_atom_site_fract_y
_atom_site_fract_z
Ba1 Ba 0.667 0.333 0.344
K1 K 0.333 0.667 0.652
Cs1 Cs 0.000 0.000 0.004
```